[1]
Crystalline Er6AgIr5 at its relaxed geometry. Source: Alexandria, functional PBE-GGA.

Properties
Magnetization in μB/cell: 0.0
ΔE_f in kJ per mole of atoms: -78
Density of states at the Fermi level in states/eV/cell: 6.46

Lattice parameters (Å, degrees): 4.8790 8.4262 8.4262 120.78 106.83 106.83
Closest atoms and distances in Å follow each position.
Element x y z (fractional)
Ir1 0.5000 0.8356 0.1644  8 Er 2.94-2.98
Ir2 0.5000 0.1644 0.8356  8 Er 2.94-2.98
Ir3 0.5000 0.5000 0.5000  8 Er 2.94-3.00
Ir4 0.0000 0.6663 0.3337  8 Er 2.93-2.95
Ir5 0.0000 0.3337 0.6663  8 Er 2.93-2.95
Er1 0.7464 0.5761 0.9167  7 Ir 2.94-3.00, 1 Ag 3.03
Er2 0.7580 0.2579 0.2579  6 Ir 2.93-2.97, 2 Ag 3.00, 1 Er 3.27
Er3 0.2536 0.0833 0.4239  7 Ir 2.94-3.00, 1 Ag 3.03
Er4 0.7464 0.9167 0.5761  7 Ir 2.94-3.00, 1 Ag 3.03
Er5 0.2536 0.4239 0.0833  7 Ir 2.94-3.00, 1 Ag 3.03
Er6 0.2420 0.7421 0.7421  6 Ir 2.93-2.97, 2 Ag 3.00, 1 Er 3.27
Ag1 0.0000 0.0000 0.0000  8 Er 3.00-3.03

---

[2]
Crystalline Er4AgIr at its relaxed geometry. Source: Alexandria, functional PBE-GGA.

Properties
Magnetization in μB/cell: 0.0
ΔE_f in kJ per mole of atoms: -50
Density of states at the Fermi level in states/eV/cell: 25.56
E above lowest polymorph in meV/atom: 0.0

Lattice parameters (Å, degrees): 9.4585 9.4585 9.4585 60.00 60.00 60.00
Closest atoms and distances in Å follow each position.
Element x y z (fractional)
Ag1 0.1677 0.4968 0.1677  3 Ag 3.11, 9 Er 3.18-3.43
Ag2 0.1677 0.1677 0.4968  3 Ag 3.11, 9 Er 3.18-3.43
Ag3 0.4968 0.1677 0.1677  3 Ag 3.11, 9 Er 3.18-3.43
Ag4 0.1677 0.1677 0.1677  3 Ag 3.11, 9 Er 3.18-3.43
Er1 0.9391 0.5609 0.9391  2 Ir 2.77
Er2 0.3977 0.3977 0.8069  3 Ir 2.81
Er3 0.8130 0.1870 0.8130  2 Ag 3.18, 10 Er 3.42-3.54, 2 Ir 3.42
Er4 0.1870 0.1870 0.8130  2 Ag 3.18, 10 Er 3.42-3.54, 2 Ir 3.42
Er5 0.8069 0.3977 0.3977  3 Ir 2.81
Er6 0.9391 0.5609 0.5609  2 Ir 2.77
Er7 0.1870 0.8130 0.1870  2 Ag 3.18, 10 Er 3.42-3.54, 2 Ir 3.42
Er8 0.8130 0.8130 0.1870  2 Ag 3.18, 10 Er 3.42-3.54, 2 Ir 3.42
Er9 0.3977 0.8069 0.3977  3 Ir 2.81
Er10 0.1870 0.8130 0.8130  2 Ag 3.18, 10 Er 3.42-3.54, 2 Ir 3.42
Er11 0.5609 0.5609 0.9391  2 Ir 2.77
Er12 0.9391 0.9391 0.5609  2 Ir 2.77
Er13 0.5609 0.9391 0.9391  2 Ir 2.77
Er14 0.3977 0.3977 0.3977  3 Ir 2.81
Er15 0.5609 0.9391 0.5609  2 Ir 2.77
Er16 0.8130 0.1870 0.1870  2 Ag 3.18, 10 Er 3.42-3.54, 2 Ir 3.42
Ir1 0.6073 0.6073 0.1781  6 Er 2.77-2.81
Ir2 0.6073 0.6073 0.6073  6 Er 2.77-2.81
Ir3 0.1781 0.6073 0.6073  6 Er 2.77-2.81
Ir4 0.6073 0.1781 0.6073  6 Er 2.77-2.81

---

[3]
Crystalline Er5AgIr4 at its relaxed geometry. Source: Alexandria, functional PBE-GGA.

Properties
Magnetization in μB/cell: 0.0
ΔE_f in kJ per mole of atoms: -76
Density of states at the Fermi level in states/eV/cell: 8.57

Lattice parameters (Å, degrees): 3.4024 3.4024 17.6691 90.00 90.00 90.00
Closest atoms and distances in Å follow each position.
Element x y z (fractional)
Ir1 0.0000 0.0000 0.4032  8 Er 2.94-2.95
Ir2 0.0000 0.0000 0.7922  8 Er 2.89-2.98
Ir3 0.0000 0.0000 0.2078  8 Er 2.89-2.98
Ir4 0.0000 0.0000 0.5968  8 Er 2.94-2.95
Er1 0.5000 0.5000 0.6924  8 Ir 2.94-2.98
Er2 0.5000 0.5000 0.5000  8 Ir 2.95
Er3 0.5000 0.5000 0.3076  8 Ir 2.94-2.98
Er4 0.5000 0.5000 0.8827  4 Ir 2.89, 4 Ag 3.18
Er5 0.5000 0.5000 0.1173  4 Ir 2.89, 4 Ag 3.18
Ag1 0.0000 0.0000 0.0000  8 Er 3.18, 4 Ag 3.40

---

[4]
Crystalline Er7AgIr4 at its relaxed geometry. Source: Alexandria, functional PBE-GGA.

Properties
Magnetization in μB/cell: 0.0
ΔE_f in kJ per mole of atoms: -54
Density of states at the Fermi level in states/eV/cell: 7.65

Lattice parameters (Å, degrees): 5.2108 8.3823 7.3215 76.79 69.15 71.89
Closest atoms and distances in Å follow each position.
Element x y z (fractional)
Er1 0.7869 0.8727 0.5535  4 Ir 2.90-3.07, 1 Er 3.19
Er2 0.9240 0.3535 0.7984  1 Ir 2.70, 1 Ag 2.97
Er3 0.0760 0.6465 0.2016  1 Ir 2.70, 1 Ag 2.97
Er4 0.3282 0.6187 0.7249  4 Ir 2.69-3.00
Er5 0.6718 0.3813 0.2751  4 Ir 2.69-3.00
Er6 0.5000 0.0000 0.0000  2 Ag 2.61, 4 Ir 2.79-2.83
Er7 0.2131 0.1273 0.4465  4 Ir 2.90-3.07, 1 Er 3.19
Ir1 0.4316 0.7816 0.3551  3 Er 2.69-2.90
Ir2 0.7049 0.6576 0.9326  6 Er 2.70-3.00
Ir3 0.2951 0.3424 0.0674  6 Er 2.70-3.00
Ir4 0.5684 0.2184 0.6449  3 Er 2.69-2.90
Ag1 0.0000 0.0000 0.0000  2 Er 2.61

---

[5]
Crystalline Er7Ag2Ir2 at its relaxed geometry. Source: Alexandria, functional PBE-GGA.

Properties
Magnetization in μB/cell: 0.0
ΔE_f in kJ per mole of atoms: -39
Density of states at the Fermi level in states/eV/cell: 11.35

Lattice parameters (Å, degrees): 6.6660 7.0046 6.6660 90.00 105.92 90.00
Closest atoms and distances in Å follow each position.
Element x y z (fractional)
Ir1 0.2859 0.0000 0.7141  6 Er 2.71-2.86
Ir2 0.7141 0.0000 0.2859  6 Er 2.71-2.86
Er1 0.5000 0.7467 0.0000  2 Ir 2.71
Er2 0.5000 0.7532 0.5000  2 Ir 2.86, 2 Ag 3.11
Er3 0.5000 0.2468 0.5000  2 Ir 2.86, 2 Ag 3.11
Er4 0.0000 0.0000 0.0000  2 Ir 3.04
Er5 0.0000 0.2533 0.5000  2 Ir 2.71
Er6 0.5000 0.2533 0.0000  2 Ir 2.71
Er7 0.0000 0.7467 0.5000  2 Ir 2.71
Ag1 0.1822 0.5000 0.1822  1 Ag 2.93, 6 Er 3.11-3.22
Ag2 0.8178 0.5000 0.8178  1 Ag 2.93, 6 Er 3.11-3.22

---

[6]
Crystalline Er6AgIr2 at its relaxed geometry. Source: Alexandria, functional PBE-GGA.

Properties
Magnetization in μB/cell: 0.0
ΔE_f in kJ per mole of atoms: -44
Density of states at the Fermi level in states/eV/cell: 16.24

Lattice parameters (Å, degrees): 6.6078 7.1170 10.1033 90.00 95.41 90.00
Closest atoms and distances in Å follow each position.
Element x y z (fractional)
Ir1 0.9514 0.3792 0.7763  6 Er 2.78-3.08
Ir2 0.4514 0.1208 0.2763  6 Er 2.78-3.08
Ir3 0.5486 0.8792 0.7237  6 Er 2.78-3.08
Ir4 0.0486 0.6208 0.2237  6 Er 2.78-3.08
Er1 0.1475 0.3154 0.0710  2 Ir 2.78-3.08, 1 Ag 2.82
Er2 0.6754 0.4498 0.2667  2 Ir 2.78-2.82, 1 Ag 2.85
Er3 0.3122 0.8418 0.0894  2 Ir 2.79-2.83, 1 Ag 2.91
Er4 0.6475 0.1846 0.5710  2 Ir 2.78-3.08, 1 Ag 2.82
Er5 0.3525 0.8154 0.4290  2 Ir 2.78-3.08, 1 Ag 2.82
Er6 0.6878 0.1582 0.9106  2 Ir 2.79-2.83, 1 Ag 2.91
Er7 0.3246 0.5502 0.7333  2 Ir 2.78-2.82, 1 Ag 2.85
Er8 0.1754 0.0502 0.7667  2 Ir 2.78-2.82, 1 Ag 2.85
Er9 0.8122 0.6582 0.5894  2 Ir 2.79-2.83, 1 Ag 2.91
Er10 0.8525 0.6846 0.9290  2 Ir 2.78-3.08, 1 Ag 2.82
Er11 0.1878 0.3418 0.4106  2 Ir 2.79-2.83, 1 Ag 2.91
Er12 0.8246 0.9498 0.2333  2 Ir 2.78-2.82, 1 Ag 2.85
Ag1 0.0000 0.0000 0.5000  6 Er 2.82-2.91
Ag2 0.5000 0.5000 0.0000  6 Er 2.82-2.91

---

[7]
Crystalline Er5Ag2Ir2 at its relaxed geometry. Source: Alexandria, functional PBE-GGA.

Properties
Magnetization in μB/cell: 0.0
ΔE_f in kJ per mole of atoms: -58
Density of states at the Fermi level in states/eV/cell: 13.45

Lattice parameters (Å, degrees): 7.5950 7.4360 8.5189 115.88 90.00 90.00
Closest atoms and distances in Å follow each position.
Element x y z (fractional)
Er1 0.1681 0.4568 0.2474  3 Ir 2.82-3.00, 3 Ag 3.09-3.11
Er2 0.0000 0.0000 0.0000  4 Ir 2.90-2.94, 2 Ag 3.23
Er3 0.8319 0.7906 0.2474  3 Ir 2.82-3.00, 3 Ag 3.09-3.11
Er4 0.8319 0.5432 0.7526  3 Ir 2.82-3.00, 3 Ag 3.09-3.11
Er5 0.6681 0.0432 0.7526  3 Ir 2.82-3.00, 3 Ag 3.09-3.11
Er6 0.3319 0.9568 0.2474  3 Ir 2.82-3.00, 3 Ag 3.09-3.11
Er7 0.5000 0.5000 0.0000  4 Ir 2.90-2.94, 2 Ag 3.23
Er8 0.1681 0.2094 0.7526  3 Ir 2.82-3.00, 3 Ag 3.09-3.11
Er9 0.6681 0.2906 0.2474  3 Ir 2.82-3.00, 3 Ag 3.09-3.11
Er10 0.3319 0.7094 0.7526  3 Ir 2.82-3.00, 3 Ag 3.09-3.11
Ag1 0.0000 0.7895 0.5789  7 Er 3.09-3.23
Ag2 0.5000 0.2895 0.5789  7 Er 3.09-3.23
Ag3 0.0000 0.2105 0.4211  7 Er 3.09-3.23
Ag4 0.5000 0.7105 0.4211  7 Er 3.09-3.23
Ir1 0.6362 0.8641 0.0000  8 Er 2.82-3.00, 1 Ir 2.89
Ir2 0.8638 0.3641 0.0000  8 Er 2.82-3.00, 1 Ir 2.89
Ir3 0.3638 0.1359 0.0000  8 Er 2.82-3.00, 1 Ir 2.89
Ir4 0.1362 0.6359 0.0000  8 Er 2.82-3.00, 1 Ir 2.89

---

[8]
Crystalline Er5AgIr2 at its relaxed geometry. Source: Alexandria, functional PBE-GGA.

Properties
Magnetization in μB/cell: 0.0
ΔE_f in kJ per mole of atoms: -65
Density of states at the Fermi level in states/eV/cell: 13.62

Lattice parameters (Å, degrees): 7.6669 7.6669 8.5600 116.60 116.60 90.00
Closest atoms and distances in Å follow each position.
Element x y z (fractional)
Ir1 0.1416 0.3584 0.0000  8 Er 2.81-2.95, 1 Ir 3.07
Ir2 0.6416 0.1416 0.0000  8 Er 2.81-2.95, 1 Ir 3.07
Ir3 0.8584 0.6416 0.0000  8 Er 2.81-2.95, 1 Ir 3.07
Ir4 0.3584 0.8584 0.0000  8 Er 2.81-2.95, 1 Ir 3.07
Er1 0.9769 0.4769 0.2714  3 Ir 2.81-2.93
Er2 0.5000 0.5000 0.0000  4 Ir 2.95
Er3 0.0231 0.5231 0.7286  3 Ir 2.81-2.93
Er4 0.2946 0.7946 0.2714  3 Ir 2.81-2.93
Er5 0.4769 0.2946 0.2714  3 Ir 2.81-2.93
Er6 0.5231 0.7054 0.7286  3 Ir 2.81-2.93
Er7 0.7946 0.9769 0.2714  3 Ir 2.81-2.93
Er8 0.7054 0.2054 0.7286  3 Ir 2.81-2.93
Er9 0.2054 0.0231 0.7286  3 Ir 2.81-2.93
Er10 0.0000 0.0000 0.0000  4 Ir 2.95
Ag1 0.7500 0.7500 0.5000  10 Er 3.26-3.31
Ag2 0.2500 0.2500 0.5000  10 Er 3.26-3.31

---

The lowest ΔE_f belongs to which entry?
Er6AgIr5